(1)
Computed, not measured: a relaxed Cs2HPtI6 crystal at the PBE level of DFT.

Computed properties:
Total magnetic moment in μB/atom: 0.06
DFT total energy in eV per atom: -2.56

Geometry as CIF:
```
data_Cs2HPtI6
_chemical_formula_sum 'Cs2 H1 Pt1 I6'
_space_group_name_H-M_alt 'P 1'
_space_group_IT_number 1
_space_group_name_Hall 'P 1'
_cell_length_a 7.770
_cell_length_b 7.770
_cell_length_c 8.308
_cell_angle_alpha 62.12
_cell_angle_beta 62.12
_cell_angle_gamma 90.00
loop_
_atom_site_label
_atom_site_type_symbol
_atom_site_fract_x
_atom_site_fract_y
_atom_site_fract_z
Cs1 Cs 0.750 0.250 0.500
Cs2 Cs 0.250 0.750 0.500
I1 I 0.216 0.216 0.568
I2 I 0.784 0.784 0.432
I3 I 0.253 0.253 0.000
I4 I 0.747 0.747 0.000
I5 I 0.747 0.253 0.000
I6 I 0.253 0.747 0.000
Pt1 Pt 0.000 0.000 0.000
H1 H 0.500 0.500 0.000
```

=====

(2)
Computed, not measured: a relaxed Cs2PuHI6 crystal at the PBE level of DFT.

Computed properties:
Total magnetic moment in μB/atom: 0.50
DFT total energy in eV per atom: -3.76

Geometry as CIF:
```
data_Cs2PuHI6
_chemical_formula_sum 'Cs2 Pu1 H1 I6'
_space_group_name_H-M_alt 'P 1'
_space_group_IT_number 1
_space_group_name_Hall 'P 1'
_cell_length_a 8.408
_cell_length_b 8.408
_cell_length_c 8.565
_cell_angle_alpha 60.60
_cell_angle_beta 60.60
_cell_angle_gamma 89.99
loop_
_atom_site_label
_atom_site_type_symbol
_atom_site_fract_x
_atom_site_fract_y
_atom_site_fract_z
Cs1 Cs 0.750 0.250 0.500
Cs2 Cs 0.250 0.750 0.500
Pu1 Pu 0.000 0.000 0.000
H1 H 0.500 0.500 0.000
I1 I 0.245 0.245 0.510
I2 I 0.747 0.747 0.000
I3 I 0.253 0.747 0.000
I4 I 0.747 0.253 0.000
I5 I 0.253 0.253 0.000
I6 I 0.755 0.755 0.490
```

=====

(3)
Computed, not measured: a relaxed Cs2RbHI crystal at the PBE level of DFT.

Computed properties:
Total magnetic moment in μB/atom: 0.00
DFT total energy in eV per atom: -2.03

Geometry as CIF:
```
data_Cs2RbHI
_chemical_formula_sum 'Cs2 Rb1 H1 I1'
_space_group_name_H-M_alt 'P 1'
_space_group_IT_number 1
_space_group_name_Hall 'P 1'
_cell_length_a 6.481
_cell_length_b 6.481
_cell_length_c 5.852
_cell_angle_alpha 90.00
_cell_angle_beta 90.00
_cell_angle_gamma 90.00
loop_
_atom_site_label
_atom_site_type_symbol
_atom_site_fract_x
_atom_site_fract_y
_atom_site_fract_z
Cs1 Cs 0.000 0.500 0.000
Cs2 Cs 0.500 0.000 0.000
I1 I 0.500 0.500 0.500
Rb1 Rb 0.000 0.000 0.500
H1 H 0.000 0.000 0.000
```

=====

(4)
Computed, not measured: a relaxed CsRbHI3 crystal at the PBE level of DFT.

Computed properties:
Total magnetic moment in μB/atom: 0.01
DFT total energy in eV per atom: -2.64

Geometry as CIF:
```
data_CsRbHI3
_chemical_formula_sum 'Cs2 Rb2 H2 I6'
_space_group_name_H-M_alt 'P 1'
_space_group_IT_number 1
_space_group_name_Hall 'P 1'
_cell_length_a 5.476
_cell_length_b 9.800
_cell_length_c 11.921
_cell_angle_alpha 90.00
_cell_angle_beta 90.00
_cell_angle_gamma 106.22
loop_
_atom_site_label
_atom_site_type_symbol
_atom_site_fract_x
_atom_site_fract_y
_atom_site_fract_z
Cs1 Cs 0.738 0.476 0.750
Cs2 Cs 0.262 0.524 0.250
Rb1 Rb 0.000 0.000 0.500
Rb2 Rb 0.000 0.000 0.000
H1 H 0.370 0.740 0.750
H2 H 0.630 0.260 0.250
I1 I 0.633 0.267 0.412
I2 I 0.367 0.733 0.588
I3 I 0.367 0.733 0.912
I4 I 0.633 0.267 0.088
I5 I 0.103 0.206 0.750
I6 I 0.897 0.794 0.250
```

=====

(5)
Computed, not measured: a relaxed CsRb2HI6 crystal at the PBE level of DFT.

Computed properties:
Total magnetic moment in μB/atom: 0.17
DFT total energy in eV per atom: -2.04

Geometry as CIF:
```
data_CsRb2HI6
_chemical_formula_sum 'Cs1 Rb2 H1 I6'
_space_group_name_H-M_alt 'P 1'
_space_group_IT_number 1
_space_group_name_Hall 'P 1'
_cell_length_a 8.335
_cell_length_b 8.335
_cell_length_c 9.726
_cell_angle_alpha 64.63
_cell_angle_beta 64.63
_cell_angle_gamma 90.00
loop_
_atom_site_label
_atom_site_type_symbol
_atom_site_fract_x
_atom_site_fract_y
_atom_site_fract_z
Cs1 Cs 0.000 0.000 0.000
I1 I 0.239 0.239 0.521
I2 I 0.761 0.761 0.479
I3 I 0.300 0.300 0.000
I4 I 0.700 0.700 0.000
I5 I 0.700 0.300 0.000
I6 I 0.300 0.700 0.000
Rb1 Rb 0.750 0.250 0.500
Rb2 Rb 0.250 0.750 0.500
H1 H 0.500 0.500 0.000
```

=====

(6)
Computed, not measured: a relaxed Cs2HRuI6 crystal at the PBE level of DFT.

Computed properties:
Total magnetic moment in μB/atom: 0.30
DFT total energy in eV per atom: -2.79

Geometry as CIF:
```
data_Cs2HRuI6
_chemical_formula_sum 'Cs2 H1 Ru1 I6'
_space_group_name_H-M_alt 'P 1'
_space_group_IT_number 1
_space_group_name_Hall 'P 1'
_cell_length_a 8.146
_cell_length_b 8.146
_cell_length_c 8.198
_cell_angle_alpha 60.21
_cell_angle_beta 60.21
_cell_angle_gamma 90.00
loop_
_atom_site_label
_atom_site_type_symbol
_atom_site_fract_x
_atom_site_fract_y
_atom_site_fract_z
Cs1 Cs 0.750 0.250 0.500
Cs2 Cs 0.250 0.750 0.500
I1 I 0.234 0.234 0.531
I2 I 0.766 0.766 0.469
I3 I 0.237 0.237 0.000
I4 I 0.763 0.763 0.000
I5 I 0.763 0.237 0.000
I6 I 0.237 0.763 0.000
H1 H 0.500 0.500 0.000
Ru1 Ru 0.000 0.000 0.000
```

=====

(7)
Computed, not measured: a relaxed Cs2HSI6 crystal at the PBE level of DFT.

Computed properties:
Total magnetic moment in μB/atom: 0.00
DFT total energy in eV per atom: -2.22

Geometry as CIF:
```
data_Cs2HSI6
_chemical_formula_sum 'Cs2 H1 S1 I6'
_space_group_name_H-M_alt 'P 1'
_space_group_IT_number 1
_space_group_name_Hall 'P 1'
_cell_length_a 7.747
_cell_length_b 7.747
_cell_length_c 8.388
_cell_angle_alpha 62.50
_cell_angle_beta 62.50
_cell_angle_gamma 90.00
loop_
_atom_site_label
_atom_site_type_symbol
_atom_site_fract_x
_atom_site_fract_y
_atom_site_fract_z
Cs1 Cs 0.750 0.250 0.500
Cs2 Cs 0.250 0.750 0.500
I1 I 0.215 0.215 0.569
I2 I 0.785 0.785 0.431
I3 I 0.264 0.264 0.000
I4 I 0.736 0.736 0.000
I5 I 0.736 0.264 0.000
I6 I 0.264 0.736 0.000
S1 S 0.000 0.000 0.000
H1 H 0.500 0.500 0.000
```

=====

(8)
Computed, not measured: a relaxed CsSb2HI crystal at the PBE level of DFT.

Computed properties:
Total magnetic moment in μB/atom: 0.00
DFT total energy in eV per atom: -2.71

Geometry as CIF:
```
data_CsSb2HI
_chemical_formula_sum 'Cs1 Sb2 H1 I1'
_space_group_name_H-M_alt 'P 1'
_space_group_IT_number 1
_space_group_name_Hall 'P 1'
_cell_length_a 4.783
_cell_length_b 4.783
_cell_length_c 7.783
_cell_angle_alpha 90.00
_cell_angle_beta 90.00
_cell_angle_gamma 90.00
loop_
_atom_site_label
_atom_site_type_symbol
_atom_site_fract_x
_atom_site_fract_y
_atom_site_fract_z
Cs1 Cs 0.500 0.500 0.500
I1 I 0.000 0.000 0.500
H1 H 0.000 0.000 0.000
Sb1 Sb 0.000 0.500 0.000
Sb2 Sb 0.500 0.000 0.000
```

=====

(9)
Computed, not measured: a relaxed CsSbHI2 crystal at the PBE level of DFT.

Computed properties:
Total magnetic moment in μB/atom: 0.85
DFT total energy in eV per atom: -1.57

Geometry as CIF:
```
data_CsSbHI2
_chemical_formula_sum 'Cs1 Sb1 H1 I2'
_space_group_name_H-M_alt 'P 1'
_space_group_IT_number 1
_space_group_name_Hall 'P 1'
_cell_length_a 7.110
_cell_length_b 7.110
_cell_length_c 6.860
_cell_angle_alpha 90.00
_cell_angle_beta 90.00
_cell_angle_gamma 90.00
loop_
_atom_site_label
_atom_site_type_symbol
_atom_site_fract_x
_atom_site_fract_y
_atom_site_fract_z
Cs1 Cs 0.000 0.000 0.000
I1 I 0.000 0.500 0.000
I2 I 0.500 0.000 0.000
H1 H 0.500 0.500 0.500
Sb1 Sb 0.000 0.000 0.500
```

=====

(10)
Computed, not measured: a relaxed CsSbHI2 crystal at the PBE level of DFT.

Computed properties:
Total magnetic moment in μB/atom: 0.04
DFT total energy in eV per atom: -2.53

Geometry as CIF:
```
data_CsSbHI2
_chemical_formula_sum 'Cs1 Sb1 H1 I2'
_space_group_name_H-M_alt 'P 1'
_space_group_IT_number 1
_space_group_name_Hall 'P 1'
_cell_length_a 6.315
_cell_length_b 6.315
_cell_length_c 4.081
_cell_angle_alpha 90.00
_cell_angle_beta 90.00
_cell_angle_gamma 90.00
loop_
_atom_site_label
_atom_site_type_symbol
_atom_site_fract_x
_atom_site_fract_y
_atom_site_fract_z
Cs1 Cs 0.500 0.500 0.500
I1 I 0.000 0.500 0.000
I2 I 0.500 0.000 0.000
H1 H 0.000 0.000 0.000
Sb1 Sb 0.000 0.000 0.500
```

=====

(11)
Computed, not measured: a relaxed Cs2ScHI6 crystal at the PBE level of DFT.

Computed properties:
Total magnetic moment in μB/atom: 0.00
DFT total energy in eV per atom: -2.96

Geometry as CIF:
```
data_Cs2ScHI6
_chemical_formula_sum 'Cs2 Sc1 H1 I6'
_space_group_name_H-M_alt 'P 1'
_space_group_IT_number 1
_space_group_name_Hall 'P 1'
_cell_length_a 7.903
_cell_length_b 7.903
_cell_length_c 8.554
_cell_angle_alpha 62.49
_cell_angle_beta 62.49
_cell_angle_gamma 90.00
loop_
_atom_site_label
_atom_site_type_symbol
_atom_site_fract_x
_atom_site_fract_y
_atom_site_fract_z
Cs1 Cs 0.750 0.250 0.500
Cs2 Cs 0.250 0.750 0.500
I1 I 0.221 0.221 0.557
I2 I 0.779 0.779 0.443
I3 I 0.263 0.263 0.000
I4 I 0.737 0.737 0.000
I5 I 0.737 0.263 0.000
I6 I 0.263 0.737 0.000
Sc1 Sc 0.000 0.000 0.000
H1 H 0.500 0.500 0.000
```

=====

(12)
Computed, not measured: a relaxed CsSiH2I crystal at the PBE level of DFT.

Computed properties:
Total magnetic moment in μB/atom: 0.00
DFT total energy in eV per atom: -2.66

Geometry as CIF:
```
data_CsSiH2I
_chemical_formula_sum 'Cs1 Si1 H2 I1'
_space_group_name_H-M_alt 'P 1'
_space_group_IT_number 1
_space_group_name_Hall 'P 1'
_cell_length_a 4.853
_cell_length_b 4.853
_cell_length_c 5.687
_cell_angle_alpha 90.00
_cell_angle_beta 90.00
_cell_angle_gamma 90.00
loop_
_atom_site_label
_atom_site_type_symbol
_atom_site_fract_x
_atom_site_fract_y
_atom_site_fract_z
Cs1 Cs 0.500 0.500 0.500
I1 I 0.000 0.000 0.500
Si1 Si 0.000 0.000 0.000
H1 H 0.000 0.500 0.000
H2 H 0.500 0.000 0.000
```

=====

Repeat the sixth record exactly.
Computed, not measured: a relaxed Cs2HRuI6 crystal at the PBE level of DFT.

Computed properties:
Total magnetic moment in μB/atom: 0.30
DFT total energy in eV per atom: -2.79

Geometry as CIF:
```
data_Cs2HRuI6
_chemical_formula_sum 'Cs2 H1 Ru1 I6'
_space_group_name_H-M_alt 'P 1'
_space_group_IT_number 1
_space_group_name_Hall 'P 1'
_cell_length_a 8.146
_cell_length_b 8.146
_cell_length_c 8.198
_cell_angle_alpha 60.21
_cell_angle_beta 60.21
_cell_angle_gamma 90.00
loop_
_atom_site_label
_atom_site_type_symbol
_atom_site_fract_x
_atom_site_fract_y
_atom_site_fract_z
Cs1 Cs 0.750 0.250 0.500
Cs2 Cs 0.250 0.750 0.500
I1 I 0.234 0.234 0.531
I2 I 0.766 0.766 0.469
I3 I 0.237 0.237 0.000
I4 I 0.763 0.763 0.000
I5 I 0.763 0.237 0.000
I6 I 0.237 0.763 0.000
H1 H 0.500 0.500 0.000
Ru1 Ru 0.000 0.000 0.000
```

=====

- Which of these has the highest DFT total energy?
  number 9